[1]
First-principles (PBE) data for ScHg2P after structural relaxation, as listed in Alexandria via LeMat-Bulk.

a = 5.981 Å, b = 5.981 Å, c = 5.981 Å
α = 42.53°, β = 42.53°, γ = 42.53°
Fractional positions:
1 Sc 0.000 0.000 0.000
2 Hg 0.757 0.757 0.757
3 Hg 0.243 0.243 0.243
4 P 0.500 0.500 0.500

Output
Symmetry = R-3m (166)
Volume = 22.13 A^3/atom
DFT total energy = -3.112 eV/atom
DOS(E_F) = 0.96 states/eV per cell


[2]
First-principles (PBE) data for ZnAsRu2 after structural relaxation, as listed in Alexandria via LeMat-Bulk.

a = 8.623 Å, b = 8.623 Å, c = 8.623 Å
α = 19.16°, β = 19.16°, γ = 19.16°
Fractional positions:
1 As 0.744 0.744 0.744
2 Ru 0.001 0.001 0.001
3 Ru 0.252 0.252 0.252
4 Zn 0.504 0.504 0.504

Output
Symmetry = R3m (160)
E above lowest polymorph = 0.225 eV/atom
Volume = 15.10 A^3/atom
DOS(E_F) = 3.18 states/eV per cell


[3]
First-principles (PBE) data for Be5Ir4Pd after structural relaxation, as listed in Alexandria via LeMat-Bulk.

a = 2.815 Å, b = 2.815 Å, c = 14.044 Å
α = 90.00°, β = 90.00°, γ = 90.00°
Fractional positions:
1 Be 0.500 0.500 0.109
2 Be 0.500 0.500 0.301
3 Be 0.500 0.500 0.500
4 Be 0.500 0.500 0.699
5 Be 0.500 0.500 0.891
6 Ir 0.000 0.000 0.201
7 Ir 0.000 0.000 0.401
8 Ir 0.000 0.000 0.599
9 Ir 0.000 0.000 0.799
10 Pd 0.000 0.000 0.000

Output
Symmetry = P4/mmm (123)
Volume = 11.12 A^3/atom
DFT total energy = -6.510 eV/atom
DOS(E_F) = 6.09 states/eV per cell


[4]
First-principles (PBE) data for BiTeAuI2 after structural relaxation, as listed in Alexandria via LeMat-Bulk.

a = 5.507 Å, b = 5.507 Å, c = 5.655 Å
α = 90.00°, β = 90.00°, γ = 90.00°
Fractional positions:
1 I 0.000 0.500 0.000
2 I 0.500 0.000 0.000
3 Te 0.000 0.000 0.500
4 Au 0.000 0.000 0.000
5 Bi 0.500 0.500 0.500

Output
Symmetry = P4/mmm (123)
E above lowest polymorph = 0.000 eV/atom
Volume = 34.30 A^3/atom
Raw formation energy = 0.31 eV/atom
DOS(E_F) = 3.81 states/eV per cell


[5]
First-principles (PBE) data for AcCoP after structural relaxation, as listed in Alexandria via LeMat-Bulk.

a = 3.896 Å, b = 3.896 Å, c = 9.010 Å
α = 90.01°, β = 90.01°, γ = 90.00°
Each line ends with the local moment (μB).
Fractional positions:
1 Ac 0.813 0.866 0.633  0.01
2 Ac 0.314 0.367 0.206  0.01
3 Co 0.814 0.366 0.920  0.68
4 Co 0.314 0.866 0.920  0.68
5 P 0.814 0.867 0.048  0.02
6 P 0.314 0.366 0.792  0.02

Output
Symmetry = P4/nmm (129)
E above lowest polymorph = 0.015 eV/atom
Volume = 22.80 A^3/atom
DOS(E_F) = 3.72 states/eV per cell


[6]
First-principles (PBE) data for ZrCdSi3 after structural relaxation, as listed in Alexandria via LeMat-Bulk.

a = 5.128 Å, b = 5.128 Å, c = 5.128 Å
α = 90.00°, β = 90.00°, γ = 90.00°
Fractional positions:
1 Si 0.000 0.500 0.000
2 Si 0.000 0.000 0.500
3 Si 0.500 0.000 0.000
4 Zr 0.000 0.000 0.000
5 Cd 0.500 0.500 0.500

Output
Symmetry = Pm-3m (221)
E above lowest polymorph = 0.000 eV/atom
Volume = 26.97 A^3/atom
Raw formation energy = 0.77 eV/atom
DOS(E_F) = 3.42 states/eV per cell


- What is the formula in the third record?
  Be5Ir4Pd


- What is the volume in the third record?
  11.12 A^3/atom


- Which of these has the lowest DOS(E_F)?
  ScHg2P